# BaLiTl2 (PBE, relaxed)
data_BaLiTl2
_space_group_name_H-M_alt 'P 1'
_space_group_IT_number 1
_space_group_name_Hall 'P 1'
_cell_length_a 5.460
_cell_length_b 5.556
_cell_length_c 5.594
_cell_angle_alpha 90.14
_cell_angle_beta 119.15
_cell_angle_gamma 118.66
loop_
_atom_site_label
_atom_site_type_symbol
_atom_site_fract_x
_atom_site_fract_y
_atom_site_fract_z
_atom_site_occupancy
Ba1 Ba 0.000 0.000 0.000 1
Li1 Li 0.495 0.267 0.731 1
Tl1 Tl 0.002 0.489 0.512 1
Tl2 Tl 0.503 0.741 0.260 1
# crystal system	triclinic
# DFT formation energy	-237	meV/atom



# TbGdEr (PBE, relaxed)
data_TbGdEr
_space_group_name_H-M_alt 'P 3 m 1'
_space_group_IT_number 156
_space_group_name_Hall 'P 3 -2"'
_cell_length_a 5.6165
_cell_length_b 5.6165
_cell_length_c 3.4675
_cell_angle_alpha 90.00
_cell_angle_beta 90.00
_cell_angle_gamma 120.00
loop_
_atom_site_label
_atom_site_type_symbol
_atom_site_fract_x
_atom_site_fract_y
_atom_site_fract_z
_atom_site_occupancy
Tb1 Tb 0.0000 0.0000 0.0000 1
Gd1 Gd 0.6667 0.3333 0.4990 1
Er1 Er 0.3333 0.6667 0.5011 1
# crystal system	trigonal
# energy relative to the lowest polymorph listed for this composition	0.129	eV/f.u.
# DFT formation energy	65	meV/atom



# YNb2Cd2 (PBE, relaxed)
data_YNb2Cd2
_space_group_name_H-M_alt 'I 4/m m m'
_space_group_IT_number 139
_space_group_name_Hall '-I 4 2'
_cell_length_a 3.946
_cell_length_b 3.946
_cell_length_c 14.466
_cell_angle_alpha 90.00
_cell_angle_beta 90.00
_cell_angle_gamma 90.00
loop_
_atom_site_label
_atom_site_type_symbol
_atom_site_fract_x
_atom_site_fract_y
_atom_site_fract_z
_atom_site_occupancy
Y1 Y 0.000 0.000 0.000 1
Nb1 Nb 0.000 0.500 0.250 1
Cd1 Cd 0.000 0.000 0.401 1
# crystal system	tetragonal
# energy relative to the lowest polymorph listed for this composition	0.000	eV/f.u.
# DFT formation energy	184	meV/atom



# SnHg2AuS (PBE, relaxed)
data_SnHg2AuS
_space_group_name_H-M_alt 'P 4/m m m'
_space_group_IT_number 123
_space_group_name_Hall '-P 4 2'
_cell_length_a 5.113
_cell_length_b 5.113
_cell_length_c 5.594
_cell_angle_alpha 90.00
_cell_angle_beta 90.00
_cell_angle_gamma 90.00
loop_
_atom_site_label
_atom_site_type_symbol
_atom_site_fract_x
_atom_site_fract_y
_atom_site_fract_z
_atom_site_occupancy
Sn1 Sn 0.000 0.000 0.000 1
Hg1 Hg 0.000 0.500 0.500 1
Au1 Au 0.500 0.500 0.000 1
S1 S 0.000 0.000 0.500 1
# uncorrected formation energy	0.41	eV/atom
# crystal system	tetragonal



# RbCuSb (PBE, relaxed)
data_RbCuSb
_space_group_name_H-M_alt 'P -6 m 2'
_space_group_IT_number 187
_space_group_name_Hall 'P -6 2'
_cell_length_a 4.4033
_cell_length_b 4.4033
_cell_length_c 5.8038
_cell_angle_alpha 90.00
_cell_angle_beta 90.00
_cell_angle_gamma 120.00
loop_
_atom_site_label
_atom_site_type_symbol
_atom_site_fract_x
_atom_site_fract_y
_atom_site_fract_z
_atom_site_occupancy
Rb1 Rb 0.0000 0.0000 0.0000 1
Cu1 Cu 0.6667 0.3333 0.5000 1
Sb1 Sb 0.3333 0.6667 0.5000 1
# uncorrected formation energy	-0.17	eV/atom
# crystal system	hexagonal
# energy relative to the lowest polymorph listed for this composition	0.082	eV/f.u.



# HoNp2RhN4 (PBE, relaxed)
data_HoNp2RhN4
_space_group_name_H-M_alt 'C m c m'
_space_group_IT_number 63
_space_group_name_Hall '-C 2c 2'
_cell_length_a 3.425
_cell_length_b 11.240
_cell_length_c 11.588
_cell_angle_alpha 90.00
_cell_angle_beta 90.00
_cell_angle_gamma 90.00
loop_
_atom_site_label
_atom_site_type_symbol
_atom_site_fract_x
_atom_site_fract_y
_atom_site_fract_z
_atom_site_occupancy
Ho1 Ho 0.000 0.110 0.250 1
Np1 Np 0.000 0.372 0.057 1
Rh1 Rh 0.000 0.153 0.750 1
N1 N 0.000 0.000 0.000 1
N2 N 0.000 0.270 0.604 1
N3 N 0.000 0.467 0.250 1
# uncorrected formation energy	-0.91	eV/atom
# crystal system	orthorhombic



E_tot
In order: -2.379, -7.693, -5.503, -1.988, -3.227, -9.800
Unit: eV per atom